Here is crystalline Mn3O2F4 at its relaxed geometry from the Alexandria database. Energies are from GGA+U.

Magnetic moment = 13.000 μB per formula unit
ΔE to the lowest computed polymorph = 0.26 kcal/mol of atoms
Density of states at the Fermi level = 1.48 states/eV/f.u.
Electronic total energy = -119.023 eV for the cell shown

Unit cell a=5.7789 b=5.7789 c=7.8346 alpha=109.98 beta=109.98 gamma=68.18
Positions (direct):
1 Mn 0.0002 0.9998 0.0000
2 Mn 0.3435 0.3435 0.8423
3 Mn 0.3607 0.2978 0.3294
4 Mn 0.6565 0.6565 0.1577
5 Mn 0.7022 0.6393 0.6706
6 Mn 0.9957 0.0043 0.5000
7 O 0.0002 0.3558 0.6761
8 O 0.3037 0.6963 0.0000
9 O 0.6442 0.9998 0.3239
10 O 0.6964 0.3036 0.0000
11 F 0.0435 0.6084 0.3268
12 F 0.1137 0.0895 0.2982
13 F 0.2371 0.2200 0.0395
14 F 0.3916 0.9565 0.6732
15 F 0.4557 0.4186 0.6229
16 F 0.5814 0.5443 0.3771
17 F 0.7800 0.7629 0.9605
18 F 0.9105 0.8863 0.7018